Record 1
Er6TlGe2Se3 | PBE-GGA | relaxed

The structure in POSCAR format:
```
Er6TlGe2Se3
1.0
9.102 -2.052 0.000
9.102 2.052 0.000
-2.358 0.000 8.013
Er Tl Ge Se
6 1 2 3
Direct
0.000 0.000 0.235
0.000 0.000 0.765
0.328 0.328 0.409
0.328 0.328 0.931
0.672 0.672 0.069
0.672 0.672 0.591
0.500 0.500 0.500
0.164 0.164 0.825
0.836 0.836 0.175
0.167 0.167 0.327
0.500 0.500 0.000
0.833 0.833 0.673
```

N(E_F) = 0.38 states/eV/atom
E_form (uncorrected) = -1210 meV per atom
symmetry = C2/m
energy = -5.33 eV/atom
total magnetic moment = 0.00 μB per cell

---

Record 2
AcMg4Pt2 | PBE-GGA | relaxed

The structure in POSCAR format:
```
AcMg4Pt2
1.0
8.298 0.000 0.000
0.000 8.298 0.000
0.000 0.000 4.436
Ac Mg Pt
2 8 4
Direct
0.000 0.000 0.000
0.500 0.500 0.500
0.091 0.338 0.500
0.162 0.591 0.000
0.338 0.091 0.500
0.409 0.838 0.000
0.591 0.162 0.000
0.662 0.909 0.500
0.838 0.409 0.000
0.909 0.662 0.500
0.219 0.781 0.500
0.281 0.281 0.000
0.719 0.719 0.000
0.781 0.219 0.500
```

N(E_F) = 0.64 states/eV/atom
symmetry = P4_2/mnm
energy of formation = -0.7347 eV/atom
energy = -3.96 eV/atom
total magnetic moment = 0.00 μB per cell

---

Record 3
AcPdPtPb | PBE-GGA | relaxed

The structure in POSCAR format:
```
AcPdPtPb
1.0
8.326 0.000 0.000
0.000 4.816 0.000
-2.773 0.000 4.956
Ac Pd Pt Pb
2 2 2 2
Direct
0.000 0.000 0.000
0.500 0.500 0.000
0.288 0.500 0.362
0.788 0.000 0.362
0.216 0.000 0.648
0.716 0.500 0.648
0.498 0.000 0.495
0.998 0.500 0.495
```

N(E_F) = 0.66 states/eV/atom
symmetry = Cm
energy of formation = -0.6666 eV/atom
energy = -5.43 eV/atom
total magnetic moment = 0.00 μB per cell

---

Record 4
PrGa4CuAu2 | PBE-GGA | relaxed

The structure in POSCAR format:
```
PrGa4CuAu2
1.0
2.233 1.289 8.739
-2.233 1.289 8.739
0.000 -2.579 8.739
Pr Ga Cu Au
1 4 1 2
Direct
0.000 0.000 0.000
0.132 0.132 0.132
0.400 0.400 0.400
0.600 0.600 0.600
0.868 0.868 0.868
0.500 0.500 0.500
0.243 0.243 0.243
0.757 0.757 0.757
```

N(E_F) = 0.47 states/eV/atom
symmetry = R-3m
energy of formation = -0.3424 eV/atom
energy = -3.78 eV/atom
total magnetic moment = 0.00 μB per cell

---

Record 5
Zr3Nb | PBE-GGA | relaxed

The structure in POSCAR format:
```
Zr3Nb
1.0
3.039 0.000 0.000
0.000 10.241 0.000
0.000 0.000 5.635
Zr Nb
6 2
Direct
0.000 0.000 0.000
0.000 0.249 0.716
0.000 0.751 0.716
0.500 0.251 0.216
0.500 0.500 0.500
0.500 0.749 0.216
0.000 0.500 0.986
0.500 0.000 0.486
```

N(E_F) = 1.24 states/eV/atom
symmetry = Imm2
energy of formation = 0.1167 eV/atom
energy = -8.81 eV/atom
total magnetic moment = 0.00 μB per cell

---

Record 6
Ce2PuC | PBE-GGA | relaxed

The structure in POSCAR format:
```
Ce2PuC
1.0
3.510 0.000 0.000
-1.755 3.040 0.000
0.000 0.000 24.861
Ce Pu C
6 3 3
Direct
0.000 0.000 0.000
0.000 0.000 0.215
0.333 0.667 0.667
0.333 0.667 0.881
0.667 0.333 0.333
0.667 0.333 0.548
0.000 0.000 0.435
0.333 0.667 0.101
0.667 0.333 0.768
0.000 0.000 0.609
0.333 0.667 0.275
0.667 0.333 0.942
```

E above lowest polymorph = 0.000 eV/atom
N(E_F) = 2.50 states/eV/atom
symmetry = R3m
energy of formation = -0.0038 eV/atom
energy = -8.86 eV/atom
total magnetic moment = 16.68 μB per cell

---

Record 7
ThP2Rh5 | PBE-GGA | relaxed

The structure in POSCAR format:
```
ThP2Rh5
1.0
3.950 0.000 0.000
0.000 6.775 0.000
0.000 0.000 9.472
Th P Rh
2 4 10
Direct
0.000 0.000 0.000
0.500 0.500 0.500
0.000 0.500 0.241
0.000 0.500 0.759
0.500 0.000 0.259
0.500 0.000 0.741
0.000 0.203 0.352
0.000 0.203 0.648
0.000 0.500 0.000
0.000 0.797 0.352
0.000 0.797 0.648
0.500 0.000 0.500
0.500 0.297 0.148
0.500 0.297 0.852
0.500 0.703 0.148
0.500 0.703 0.852
```

N(E_F) = 0.53 states/eV/atom
symmetry = Immm
energy of formation = -0.9033 eV/atom
energy = -7.78 eV/atom
total magnetic moment = 0.00 μB per cell

---

Record 8
Cs2CaNdBr6 | PBE-GGA | relaxed

The structure in POSCAR format:
```
Cs2CaNdBr6
1.0
8.240 0.000 0.000
0.000 11.656 0.000
0.000 0.000 8.240
Cs Ca Nd Br
4 2 2 12
Direct
0.250 0.001 0.250
0.250 0.499 0.250
0.750 0.501 0.750
0.750 0.999 0.750
0.250 0.750 0.750
0.750 0.250 0.250
0.250 0.250 0.749
0.750 0.750 0.251
0.002 0.750 0.504
0.003 0.750 0.998
0.250 0.503 0.750
0.250 0.997 0.750
0.497 0.750 0.998
0.498 0.750 0.504
0.502 0.250 0.496
0.503 0.250 0.002
0.750 0.003 0.250
0.750 0.497 0.250
0.997 0.250 0.002
0.998 0.250 0.496
```

N(E_F) = 0.46 states/eV/atom
E_form (uncorrected) = -1785 meV per atom
symmetry = Pmmn
energy = -3.64 eV/atom
total magnetic moment = 1.97 μB per cell

---

Record 9
LaTm2MgHg4 | PBE-GGA | relaxed

The structure in POSCAR format:
```
LaTm2MgHg4
1.0
2.541 1.467 9.139
-2.541 1.467 9.139
0.000 -2.934 9.139
La Tm Mg Hg
1 2 1 4
Direct
0.000 0.000 0.000
0.241 0.241 0.241
0.759 0.759 0.759
0.500 0.500 0.500
0.127 0.127 0.127
0.386 0.386 0.386
0.614 0.614 0.614
0.873 0.873 0.873
```

N(E_F) = 0.64 states/eV/atom
symmetry = R-3m
energy of formation = -0.4313 eV/atom
energy = -2.52 eV/atom
total magnetic moment = 0.00 μB per cell

---

Record 10
ScMnAu4 | PBE-GGA | relaxed

The structure in POSCAR format:
```
ScMnAu4
1.0
0.000 3.871 3.871
3.871 0.000 3.871
3.871 3.871 0.000
Sc Mn Au
1 1 4
Direct
0.000 0.000 0.000
0.250 0.250 0.250
0.125 0.625 0.625
0.625 0.125 0.625
0.625 0.625 0.125
0.625 0.625 0.625
```

N(E_F) = 0.87 states/eV/atom
symmetry = F-43m
energy of formation = -0.1121 eV/atom
energy = -4.88 eV/atom
total magnetic moment = 4.77 μB per cell

---

Number 7 is which compound? ThP2Rh5

---

Repeat the ninth record exactly.
LaTm2MgHg4 | PBE-GGA | relaxed

The structure in POSCAR format:
```
LaTm2MgHg4
1.0
2.541 1.467 9.139
-2.541 1.467 9.139
0.000 -2.934 9.139
La Tm Mg Hg
1 2 1 4
Direct
0.000 0.000 0.000
0.241 0.241 0.241
0.759 0.759 0.759
0.500 0.500 0.500
0.127 0.127 0.127
0.386 0.386 0.386
0.614 0.614 0.614
0.873 0.873 0.873
```

N(E_F) = 0.64 states/eV/atom
symmetry = R-3m
energy of formation = -0.4313 eV/atom
energy = -2.52 eV/atom
total magnetic moment = 0.00 μB per cell

---

Among the records above, which one has the highest energy? LaTm2MgHg4